# 1
First-principles (PBE) data for an optimized crystal structure of LiMg7Zn5, as listed in Alexandria via LeMat-Bulk.

extended XYZ file:
```
13
Lattice="5.2945 0.0000 0.0000 2.6473 6.9125 0.0632 2.6473 0.0408 6.9127" Properties=species:S:1:pos:R:3 pbc="T T T"
Mg 2.6473 1.5721 1.5772
Zn 3.9580 3.4440 6.8939
Mg 5.2945 1.1965 5.5947
Zn 6.6311 3.4440 6.8939
Zn 6.6311 6.8827 3.4663
Mg 2.6473 4.5407 2.4057
Mg 5.2945 2.5160 2.5241
Li 5.2945 0.2423 0.2431
Mg 5.2945 4.6625 4.6776
Zn 7.9418 5.3078 5.3250
Mg 2.6473 2.3910 4.5485
Mg 5.2945 5.5908 1.2146
Zn 3.9580 6.8827 3.4663
```

Computed properties:
As for the total DFT energy (no corrections): -1.552 eV per atom. The value obtained for the formation enthalpy at 0 K is -0.7 eV per formula unit.

---

# 2
First-principles (PBE) data for an optimized crystal structure of Li2Mg2Zn, as listed in Alexandria via LeMat-Bulk.

extended XYZ file:
```
5
Lattice="3.5902 0.0000 0.0000 0.0000 3.5902 0.0000 1.7951 1.7951 7.8373" Properties=species:S:1:pos:R:3 pbc="T T T"
Mg 1.7951 1.7951 1.5232
Li 1.7951 3.5902 3.9186
Mg 3.5902 3.5902 6.3140
Li 3.5902 1.7951 3.9186
Zn 0.0000 0.0000 0.0000
```

Computed properties:
As for the total DFT energy (no corrections): -1.567 eV per atom. The value obtained for the formation enthalpy at 0 K is 0.5 eV per formula unit. The calculation puts the excess energy over the best structure of this formula in the dataset at 0.1849 eV/atom.

---

# 3
First-principles (PBE) data for an optimized crystal structure of Li4Mg5Zn2, as listed in Alexandria via LeMat-Bulk.

extended XYZ file:
```
11
Lattice="4.6159 0.0000 -1.3185 -0.1495 5.3783 -0.5233 -0.1197 0.5415 8.3198" Properties=species:S:1:pos:R:3 pbc="T T T"
Mg 1.0071 2.0485 3.5257
Mg 0.4674 4.5131 1.6364
Mg 3.8793 1.4068 4.8416
Mg 3.3396 3.8713 2.9523
Li 3.0473 0.8728 1.9291
Zn 1.7632 2.9074 6.1726
Li 0.1797 1.6582 0.6292
Li 4.1670 4.2616 5.8489
Mg 2.3079 0.0000 -0.6593
Li 1.2994 5.0470 4.5490
Zn 2.5835 3.0124 0.3055
```

Computed properties:
As for the total DFT energy (no corrections): -1.739 eV per atom. The value obtained for the formation enthalpy at 0 K is -1.0 eV per formula unit. The calculation puts the excess energy over the best structure of this formula in the dataset at 0.0000 eV/atom.

---

# 4
First-principles (PBE) data for an optimized crystal structure of Li15Mg4Zn, as listed in Alexandria via LeMat-Bulk.

extended XYZ file:
```
20
Lattice="4.4634 0.0000 0.0000 0.0000 4.4634 0.0000 0.0000 0.0000 19.4345" Properties=species:S:1:pos:R:3 pbc="T T T"
Li 2.2317 0.0000 9.7173
Mg 0.0000 0.0000 15.7552
Li 2.2317 0.0000 13.7262
Li 0.0000 2.2317 5.7084
Li 2.2317 0.0000 1.6749
Zn 0.0000 0.0000 0.0000
Li 2.2317 2.2317 0.0000
Li 2.2317 2.2317 3.6927
Mg 0.0000 0.0000 11.7074
Li 0.0000 2.2317 17.7596
Li 2.2317 2.2317 15.7418
Li 0.0000 2.2317 13.7262
Li 0.0000 2.2317 9.7173
Li 0.0000 2.2317 1.6749
Li 2.2317 0.0000 17.7596
Mg 0.0000 0.0000 3.6793
Mg 0.0000 0.0000 7.7272
Li 2.2317 2.2317 11.7104
Li 2.2317 2.2317 7.7241
Li 2.2317 0.0000 5.7084
```

Computed properties:
As for the total DFT energy (no corrections): -1.860 eV per atom. The value obtained for the formation enthalpy at 0 K is -0.8 eV per formula unit.

---

# 5
First-principles (PBE) data for an optimized crystal structure of Li4Mg3Zn, as listed in Alexandria via LeMat-Bulk.

extended XYZ file:
```
8
Lattice="-1.6264 -1.9208 -2.6992 1.8975 -3.7977 1.5591 -9.3270 5.1584 4.4723" Properties=species:S:1:pos:R:3 pbc="T T T"
Mg -1.7791 -0.3592 1.3276
Zn -0.8132 -0.9604 -1.3496
Mg -7.2768 -0.2008 2.0045
Li -4.5392 1.1591 1.9103
Li -7.4078 2.6635 2.5682
Li -4.5167 -1.7191 1.4219
Li -1.6481 -3.2235 0.7639
Mg 0.9488 -1.8988 0.7795
```

Computed properties:
As for the total DFT energy (no corrections): -1.785 eV per atom. The value obtained for the formation enthalpy at 0 K is -0.6 eV per formula unit. The calculation puts the excess energy over the best structure of this formula in the dataset at 0.0097 eV/atom.

---

# 6
First-principles (PBE) data for an optimized crystal structure of Li2Mg2Zn, as listed in Alexandria via LeMat-Bulk.

extended XYZ file:
```
10
Lattice="6.5581 0.0000 0.0000 0.0000 6.5581 0.0000 0.0000 0.0000 4.3803" Properties=species:S:1:pos:R:3 pbc="T T T"
Zn 0.0000 0.0000 0.0000
Zn 3.2791 3.2791 0.0000
Mg 2.1288 1.1502 2.1902
Li 0.9015 2.3776 0.0000
Li 5.6567 4.1805 0.0000
Mg 4.4293 5.4079 2.1902
Li 2.3776 5.6567 0.0000
Mg 1.1502 4.4293 2.1902
Mg 5.4079 2.1288 2.1902
Li 4.1805 0.9015 0.0000
```

Computed properties:
As for the total DFT energy (no corrections): -1.671 eV per atom. The value obtained for the formation enthalpy at 0 K is -0.1 eV per formula unit. The calculation puts the excess energy over the best structure of this formula in the dataset at 0.0809 eV/atom.

---

# 7
First-principles (PBE) data for an optimized crystal structure of Li4Mg5Zn, as listed in Alexandria via LeMat-Bulk.

extended XYZ file:
```
10
Lattice="-4.6142 2.5384 -0.8057 -5.4130 -4.4616 -0.6709 -3.3015 1.5067 6.0403" Properties=species:S:1:pos:R:3 pbc="T T T"
Mg -4.1347 -2.3666 -0.5509
Mg -8.2304 -3.1047 2.9652
Li -5.9855 0.7838 3.6151
Zn -0.8486 0.4668 -0.1482
Li -3.2975 -0.5764 1.5500
Mg -3.0441 1.6747 -0.5315
Mg -4.8782 2.5672 1.6369
Li -9.4822 -0.1420 3.1096
Li -6.7942 -1.5022 1.0445
Mg -8.9738 1.8291 5.1530
```

Computed properties:
As for the total DFT energy (no corrections): -1.642 eV per atom. The value obtained for the formation enthalpy at 0 K is 0.5 eV per formula unit. The calculation puts the excess energy over the best structure of this formula in the dataset at 0.1170 eV/atom.

---

# 8
First-principles (PBE) data for an optimized crystal structure of Li6Mg12Zn, as listed in Alexandria via LeMat-Bulk.

extended XYZ file:
```
19
Lattice="-2.3645 -6.4862 2.5813 6.7853 -2.7899 -0.7074 1.6179 2.1109 6.8739" Properties=species:S:1:pos:R:3 pbc="T T T"
Mg 6.4784 -5.0415 6.7692
Mg 3.6514 -1.4088 4.0490
Li 1.2901 -0.4498 5.6765
Mg 1.5690 0.1753 2.4750
Li 0.8576 -4.9754 7.1825
Mg 3.0128 -2.9446 6.5701
Li 5.8215 -1.8686 6.3005
Mg 5.2676 -3.9567 4.1846
Zn 0.0000 0.0000 0.0000
Mg 3.0259 -4.2206 2.1777
Mg 2.3874 -5.7564 4.6988
Mg 3.8751 -5.2064 8.4312
Mg -0.4397 -2.1237 1.9786
Li 4.7486 -6.7154 3.0712
Mg 4.4697 -7.3405 6.2727
Li 5.1812 -2.1898 1.5653
Mg 2.1636 -1.9588 0.3166
Li 0.2173 -5.2966 2.4473
Mg 0.7711 -3.2085 4.5632
```

Computed properties:
As for the total DFT energy (no corrections): -1.709 eV per atom. The value obtained for the formation enthalpy at 0 K is -0.6 eV per formula unit. The calculation puts the excess energy over the best structure of this formula in the dataset at 0.0000 eV/atom.

---

# 9
First-principles (PBE) data for an optimized crystal structure of Li2Mg2Zn, as listed in Alexandria via LeMat-Bulk.

extended XYZ file:
```
10
Lattice="5.4483 0.0000 0.0000 -2.7242 5.0446 -0.1768 0.0000 -2.6189 6.8420" Properties=species:S:1:pos:R:3 pbc="T T T"
Mg 0.6468 0.8559 5.7305
Li -1.9285 4.0090 0.2183
Li 1.9285 2.6996 3.6393
Li 0.7957 -0.2738 3.0258
Mg 3.3710 0.2604 4.3556
Zn 1.7013 -1.9641 5.1315
Mg 2.0774 1.5699 0.9346
Mg -0.6468 2.1653 2.3095
Zn 3.7470 -0.6547 1.7105
Li 4.6526 -1.5832 6.4468
```

Computed properties:
As for the total DFT energy (no corrections): -1.740 eV per atom. The value obtained for the formation enthalpy at 0 K is -0.4 eV per formula unit. The calculation puts the excess energy over the best structure of this formula in the dataset at 0.0115 eV/atom.

---

# 10
First-principles (PBE) data for an optimized crystal structure of Li3Mg2Zn3, as listed in Alexandria via LeMat-Bulk.

extended XYZ file:
```
8
Lattice="-2.8469 -0.7056 -2.7853 1.0273 -3.9442 -0.0508 -5.5108 -1.5128 6.0158" Properties=species:S:1:pos:R:3 pbc="T T T"
Zn -1.4234 -0.3528 -1.3927
Mg -4.0928 -1.1235 4.4678
Mg -1.4180 -0.3893 1.5479
Zn -4.1788 -1.1092 1.6152
Li -2.3847 -2.7298 0.1920
Li 0.5136 -1.9721 -0.0254
Zn -2.2418 -2.7285 2.9825
Li -4.9457 -3.4328 2.9876
```

Computed properties:
As for the total DFT energy (no corrections): -1.715 eV per atom. The value obtained for the formation enthalpy at 0 K is -1.0 eV per formula unit.

---

Question: total DFT energy (no corrections) of number 7 (Li4Mg5Zn)?
Answer: -1.642 eV per atom

---

Copy entry 1 word for word.
First-principles (PBE) data for an optimized crystal structure of LiMg7Zn5, as listed in Alexandria via LeMat-Bulk.

extended XYZ file:
```
13
Lattice="5.2945 0.0000 0.0000 2.6473 6.9125 0.0632 2.6473 0.0408 6.9127" Properties=species:S:1:pos:R:3 pbc="T T T"
Mg 2.6473 1.5721 1.5772
Zn 3.9580 3.4440 6.8939
Mg 5.2945 1.1965 5.5947
Zn 6.6311 3.4440 6.8939
Zn 6.6311 6.8827 3.4663
Mg 2.6473 4.5407 2.4057
Mg 5.2945 2.5160 2.5241
Li 5.2945 0.2423 0.2431
Mg 5.2945 4.6625 4.6776
Zn 7.9418 5.3078 5.3250
Mg 2.6473 2.3910 4.5485
Mg 5.2945 5.5908 1.2146
Zn 3.9580 6.8827 3.4663
```

Computed properties:
As for the total DFT energy (no corrections): -1.552 eV per atom. The value obtained for the formation enthalpy at 0 K is -0.7 eV per formula unit.

---

Question: What is the total DFT energy (no corrections) in the ninth record?
Answer: -1.740 eV per atom